# Li3CaCu

A relaxed Li3CaCu crystal (GGA-PBEsol, Alexandria).

Cell: 4.784 4.784 4.784 Å, 90.00 90.00 90.00°
Space group Pm-3m (No. 221)
Asymmetric unit:
Li 0.000 0.000 0.500 x3
Ca 0.500 0.500 0.500 x1
Cu 0.000 0.000 0.000 x1

***

# SrScFe2P

A relaxed SrScFe2P crystal (GGA-PBEsol, Alexandria).

Cell: 4.646 4.646 5.002 Å, 90.00 90.00 90.00°
Space group P4/mmm (No. 123)
Asymmetric unit:
Sr 0.000 0.000 0.000 x1
Sc 0.500 0.500 0.500 x1
Fe 0.000 0.500 0.500 x2
P 0.500 0.500 0.000 x1

***

# HgTe2Au

A relaxed HgTe2Au crystal (GGA-PBEsol, Alexandria).

Cell: 6.122 8.340 4.078 Å, 90.00 90.00 90.00°
Space group Cmmm (No. 65)
Asymmetric unit:
Hg 0.000 0.000 0.000 x2
Te 0.000 0.274 0.500 x4
Au 0.000 0.500 0.000 x2

## Properties
Uncorrected formation energy (eV per formula unit): -0.14

***

# MoAsAu2

A relaxed MoAsAu2 crystal (GGA-PBEsol, Alexandria).

Cell: 2.798 4.650 5.254 Å, 90.00 104.70 90.00°
Space group P2/m (No. 10)
Asymmetric unit:
Mo 0.000 0.000 0.000 x1
As 0.000 0.000 0.500 x1
Au 0.359 0.500 0.745 x2

***

# Zn2IrRu

A relaxed Zn2IrRu crystal (GGA-PBEsol, Alexandria).

Cell: 2.7009 2.7009 26.0619 Å, 90.00 90.00 120.00°
Space group R3m (No. 160, hexagonal axes)
Asymmetric unit:
Zn 0.0000 0.0000 0.0000 x3
Zn 0.0000 0.0000 0.2473 x3
Ir 0.0000 0.0000 0.7505 x3
Ru 0.0000 0.0000 0.4980 x3

## Properties
Energy above the most stable polymorph in this dataset (eV/atom): 0.000

***

# SrHfN2O

A relaxed SrHfN2O crystal (GGA-PBEsol, Alexandria).

Cell: 4.195 4.195 4.189 Å, 90.00 90.00 90.00°
Space group P4/mmm (No. 123)
Asymmetric unit:
Sr 0.000 0.000 0.000 x1
Hf 0.500 0.500 0.500 x1
N 0.000 0.500 0.000 x2
O 0.000 0.000 0.500 x1

## Properties
Uncorrected formation energy (eV per formula unit): 4.22

***

# NaMoN2

A relaxed NaMoN2 crystal (GGA-PBEsol, Alexandria).

Cell: 5.615 11.140 15.130 Å, 90.00 90.00 90.00°
Space group Pbca (No. 61)
Asymmetric unit:
Na 0.222 0.001 0.055 x8
Na 0.229 0.223 0.183 x8
Mo 0.214 0.520 0.808 x8
Mo 0.226 0.228 0.432 x8
N 0.001 0.190 0.999 x8
N 0.042 0.014 0.204 x8
N 0.095 0.080 0.399 x8
N 0.174 0.685 0.832 x8

## Properties
Energy above the most stable polymorph in this dataset (eV/atom): 0.015
Uncorrected formation energy (eV per formula unit): -1.76

***

# TiAlPbBr2

A relaxed TiAlPbBr2 crystal (GGA-PBEsol, Alexandria).

Cell: 4.929 4.929 5.640 Å, 90.00 90.00 90.00°
Space group P4/mmm (No. 123)
Asymmetric unit:
Ti 0.000 0.000 0.000 x1
Al 0.500 0.500 0.500 x1
Pb 0.500 0.500 0.000 x1
Br 0.000 0.500 0.500 x2

## Properties
Uncorrected formation energy (eV per formula unit): 1.98

***

| no. | calculated total energy (Ha/atom) |
| --- | --- |
| 1 | -0.086 |
| 2 | -0.215 |
| 3 | -0.107 |
| 4 | -0.217 |
| 5 | -0.213 |
| 6 | -0.224 |
| 7 | -0.294 |
| 8 | -0.134 |